Record 1
A relaxed structure of La2SmPuBi4. Source: Alexandria, functional GGA-PBE.

Cell lengths 8.0072, 4.6373, 8.0182 Å; angles 90.00, 109.49, 90.00 degrees
Space group P2/m (No. 10)
Asymmetric unit:
La (0.0000, 0.0000, 0.0000) [1 per cell]
La (0.0000, 0.5000, 0.5000) [1 per cell]
Sm (0.5000, 0.0000, 0.5000) [1 per cell]
Pu (0.5000, 0.5000, 0.0000) [1 per cell]
Bi (0.2585, 0.5000, 0.2516) [2 per cell]
Bi (0.2597, 0.0000, 0.7544) [2 per cell]

energy relative to the elements: -80 kJ/mol of atoms
DOS(E_F): 17.8 states/eV/f.u.
magnetization: 0.63 μB/atom



Record 2
A relaxed structure of La2TbPuBi4. Source: Alexandria, functional GGA-PBE.

Cell lengths 7.9739, 4.6233, 7.9921 Å; angles 90.00, 109.50, 90.00 degrees
Space group P2/m (No. 10)
Asymmetric unit:
La (0.0000, 0.0000, 0.0000) [1 per cell]
La (0.0000, 0.5000, 0.5000) [1 per cell]
Tb (0.5000, 0.0000, 0.5000) [1 per cell]
Pu (0.5000, 0.5000, 0.0000) [1 per cell]
Bi (0.2612, 0.0000, 0.7530) [2 per cell]
Bi (0.2614, 0.5000, 0.2545) [2 per cell]

energy relative to the elements: -79 kJ/mol of atoms
DOS(E_F): 17.7 states/eV/f.u.
magnetization: 0.63 μB/atom



Record 3
A relaxed structure of LaTbPu2Bi4. Source: Alexandria, functional GGA-PBE.

Cell lengths 7.9160, 4.5740, 7.9210 Å; angles 90.00, 109.47, 90.00 degrees
Space group P2/m (No. 10)
Asymmetric unit:
La (0.0000, 0.0000, 0.0000) [1 per cell]
Tb (0.0000, 0.5000, 0.5000) [1 per cell]
Pu (0.5000, 0.0000, 0.5000) [1 per cell]
Pu (0.5000, 0.5000, 0.0000) [1 per cell]
Bi (0.2529, 0.0000, 0.7450) [2 per cell]
Bi (0.2571, 0.5000, 0.2584) [2 per cell]

energy relative to the elements: -61 kJ/mol of atoms
DOS(E_F): 31.6 states/eV/f.u.
magnetization: 1.27 μB/atom



Record 4
A relaxed structure of LaPuBiTe. Source: Alexandria, functional GGA-PBE.

Cell lengths 7.8662, 7.8662, 7.8662 Å; angles 90.00, 90.00, 90.00 degrees
Space group F-43m (No. 216)
Asymmetric unit:
La (0.0000, 0.0000, 0.0000) [4 per cell]
Pu (0.0000, 0.0000, 0.5000) [4 per cell]
Bi (0.2500, 0.2500, 0.2500) [4 per cell]
Te (0.2500, 0.2500, 0.7500) [4 per cell]

formation energy without anion corrections: -3.51 eV/f.u.
DOS(E_F): 9.9 states/eV/f.u.
magnetization: 1.49 μB/atom



Record 5
A relaxed structure of LaPu2ThBi4. Source: Alexandria, functional GGA-PBE.

Cell lengths 7.9389, 4.6117, 7.9939 Å; angles 90.00, 109.54, 90.00 degrees
Space group P2/m (No. 10)
Asymmetric unit:
La (0.0000, 0.0000, 0.0000) [1 per cell]
Pu (0.5000, 0.0000, 0.5000) [1 per cell]
Pu (0.5000, 0.5000, 0.0000) [1 per cell]
Th (0.0000, 0.5000, 0.5000) [1 per cell]
Bi (0.2549, 0.0000, 0.7486) [2 per cell]
Bi (0.2571, 0.5000, 0.2559) [2 per cell]

energy relative to the elements: -58 kJ/mol of atoms
DOS(E_F): 29.4 states/eV/f.u.
magnetization: 1.36 μB/atom



Record 6
A relaxed structure of LaTm2PuBi4. Source: Alexandria, functional GGA-PBE.

Cell lengths 7.8331, 4.5413, 7.8593 Å; angles 90.00, 109.53, 90.00 degrees
Space group P2/m (No. 10)
Asymmetric unit:
La (0.0000, 0.0000, 0.0000) [1 per cell]
Tm (0.5000, 0.0000, 0.5000) [1 per cell]
Tm (0.5000, 0.5000, 0.0000) [1 per cell]
Pu (0.0000, 0.5000, 0.5000) [1 per cell]
Bi (0.2601, 0.0000, 0.7490) [2 per cell]
Bi (0.2633, 0.5000, 0.2587) [2 per cell]

energy relative to the elements: -70 kJ/mol of atoms
DOS(E_F): 17.9 states/eV/f.u.
magnetization: 0.64 μB/atom